1.
AlGeH2F (meta-GGA SCAN, single point on PBEsol structure); total DFT energy (no corrections) = -38.20 eV per cell
1.0
-1.283 -3.361 1.174
3.302 -1.615 -1.015
1.403 0.680 3.480
H Ge F Al
2 1 1 1
Direct
0.000 0.000 0.500
0.000 0.500 0.000
0.500 0.500 0.500
0.500 0.000 0.000
0.000 0.000 0.000



2.
KMgMn2AlGe3O10F2 (meta-GGA SCAN, single point on PBEsol structure); formation energy without anion corrections = -47.85 eV per formula unit
1.0
-4.253 -2.906 1.881
0.562 0.852 -5.388
6.857 -8.014 0.450
Ge O F Mn K Mg Al
3 10 2 2 1 1 1
Direct
0.908 0.247 0.227
0.090 0.758 0.780
0.243 0.914 0.227
0.867 0.448 0.839
0.027 0.692 0.607
0.982 0.986 0.160
0.552 0.124 0.158
0.703 0.043 0.604
0.024 0.026 0.835
0.962 0.300 0.395
0.444 0.866 0.834
0.124 0.557 0.161
0.302 0.972 0.395
0.387 0.366 0.601
0.631 0.605 0.400
0.339 0.677 0.510
0.996 0.998 0.510
0.489 0.495 0.975
0.672 0.331 0.505
0.757 0.094 0.776



3.
KMg3AlGe3O10F2 (meta-GGA SCAN, single point on PBEsol structure); formation energy without anion corrections = -52.59 eV per formula unit
1.0
5.407 0.000 0.002
2.702 4.685 0.005
0.874 1.566 10.425
Ge O Mg Al F K
3 10 3 1 2 1
Direct
0.335 0.754 0.231
0.666 0.241 0.776
0.669 0.088 0.231
0.001 0.967 0.833
0.001 0.027 0.164
0.334 0.966 0.602
0.333 0.699 0.397
0.588 0.555 0.833
0.585 0.860 0.165
0.664 0.299 0.604
0.418 0.444 0.164
0.668 0.036 0.397
0.412 0.142 0.834
0.003 0.003 0.508
0.333 0.325 0.508
0.660 0.668 0.508
0.334 0.909 0.771
0.000 0.640 0.591
0.994 0.370 0.408
0.001 0.507 0.977



4.
NbAl2GeF (meta-GGA SCAN, single point on PBEsol structure); formation energy without anion corrections = 0.26 eV per formula unit
1.0
4.003 0.000 0.000
0.000 5.084 0.000
0.000 0.000 5.084
F Nb Al Ge
1 1 2 1
Direct
0.500 0.000 0.000
0.000 0.000 0.000
0.000 0.000 0.500
0.000 0.500 0.000
0.500 0.500 0.500



5.
AlHF2 (meta-GGA SCAN, single point on PBEsol structure); energy above the most stable polymorph in this dataset = 459 meV per atom
1.0
2.669 0.000 0.000
1.334 2.311 0.000
1.334 0.770 5.613
Al H F
1 1 2
Direct
0.000 0.000 0.000
0.500 0.500 0.500
0.889 0.889 0.333
0.111 0.111 0.667



6.
AlH2F (meta-GGA SCAN, single point on PBEsol structure); total DFT energy (no corrections) = -18.11 eV per cell
1.0
-0.264 3.051 -1.613
-2.303 0.416 -2.550
-2.792 1.984 0.497
H F Al
2 1 1
Direct
0.250 0.250 0.250
0.750 0.750 0.750
0.000 0.000 0.000
0.500 0.500 0.500